This record from Alexandria via LeMat-Bulk describes Ce3Pa2Ni9 after structural relaxation. The functional is GGA-PBE. Values from VASP.

Cell and atoms, written as Quantum ESPRESSO input:
```
&SYSTEM
  ibrav = 0, nat = 14, ntyp = 3
/
ATOMIC_SPECIES
Ce 140.12 Ce.upf
Pa 231.04 Pa.upf
Ni 58.69 Ni.upf
CELL_PARAMETERS angstrom
3.935 0.000 0.000
1.967 7.918 0.122
1.967 1.913 7.684
ATOMIC_POSITIONS angstrom
Ce 0.000 0.000 0.000
Ce 3.935 2.776 2.204
Ce 3.935 7.055 5.602
Pa 3.935 3.710 5.422
Pa 3.935 6.121 2.384
Ni 1.967 4.916 3.903
Ni 5.902 9.056 5.607
Ni 1.967 0.775 2.199
Ni 5.902 7.514 7.550
Ni 1.967 2.318 0.256
Ni 5.902 7.628 3.477
Ni 1.967 2.204 4.329
Ni 5.902 5.115 6.641
Ni 1.967 4.716 1.165
```

Values from the calculation:
raw total energy	-6.655	eV/atom
calculated volume	17.03	A^3/atom
space-group type	Immm, No. 71
total magnetization	0.62	μB/cell
formation enthalpy at 0 K	-0.3100	eV/atom